The following is a DFT calculation (PBE) of an optimized crystal structure of DyHoTm2.

Geometry as POSCAR:
```
DyHoTm2
1.0
1.7527 1.0119 11.4078
-1.7527 1.0119 11.4078
0.0000 -2.0238 11.4078
Dy Ho Tm
1 1 2
Cartesian
0.0000 0.0000 0.0000
0.0000 0.0000 17.1117
0.0000 0.0000 8.5497
0.0000 0.0000 25.6737
```

Computed properties:
Distance to the lowest polymorph of the same formula ... 22 meV per atom
ΔH_f (0 K) ... 0.02 eV/atom

The following is a DFT calculation (PBE) of an optimized crystal structure of CaSm2Br8.

Geometry as POSCAR:
```
CaSm2Br8
1.0
7.4413 -5.0480 0.0000
7.4413 5.0480 0.0000
-1.3584 0.0000 7.2537
Ca Sm Br
1 2 8
Cartesian
0.0000 0.0000 0.0000
1.8460 0.0000 4.7365
11.6782 0.0000 2.5172
5.8857 3.0703 1.5316
2.1784 0.0000 1.9836
7.6385 3.0703 5.7221
4.2644 0.0000 5.8127
9.2598 0.0000 1.4410
5.8857 -3.0703 1.5316
11.3458 0.0000 5.2701
7.6385 -3.0703 5.7221
```

Computed properties:
Formation energy from raw total energies ... -1.76 eV per atom

Values of size of the total moment, in order: 0.00 0.00, all in μB per atom.